MnSnF4: relaxed, PBE with a Hubbard U.

Results
N(E_F)	0.00	states/eV/f.u.
space group	I4_1md (109)
total energy	-5.595	eV/atom
volume	16.47	Å³ per atom

Structure (POSCAR):
```
MnSnF4
1.0
6.354 0.174 0.000
-2.407 5.883 0.000
-1.974 -3.029 5.228
Mn Sn F
2 2 8
Direct
0.256 0.256 0.000 Mn
0.006 0.506 0.500 Mn
0.755 0.755 0.000 Sn
0.505 0.005 0.500 Sn
0.223 0.924 0.702 F
0.772 0.454 0.683 F
0.674 0.473 0.202 F
0.204 0.022 0.183 F
0.271 0.473 0.798 F
0.839 0.022 0.817 F
0.772 0.089 0.317 F
0.223 0.521 0.298 F
```